(1)
# VMo2H

Crystalline VMo2H at its relaxed geometry (PBE-GGA, the Alexandria database).

abc: 2.9485 2.9485 5.6997
angles: 90.00 90.00 90.00
Closest atoms and distances in Å follow each position.
Fractional positions:
V  0.0000  0.0000  0.0000  8 Mo 2.64, 2 H 2.85, 4 V 2.95
Mo  0.5000  0.5000  0.2854  4 H 2.42, 1 Mo 2.45, 4 V 2.64
Mo  0.5000  0.5000  0.7146  4 H 2.42, 1 Mo 2.45, 4 V 2.64
H  0.0000  0.0000  0.5000  8 Mo 2.42

Summary:
Symmetry   No. 123
Volume   49.6 Å³ per cell
Energy above the lowest structure with this stoichiometry   52.0 meV/atom
Electronic total energy   -0.2968 hartree per atom


(2)
# La2AgH12Rh3

Crystalline La2AgH12Rh3 at its relaxed geometry (PBE-GGA, the Alexandria database).

abc: 6.1655 6.1655 6.1655
angles: 61.54 61.54 61.54
Closest atoms and distances in Å follow each position.
Fractional positions:
La  0.1161  0.1161  0.1161  6 H 2.38-2.59
La  0.8839  0.8839  0.8839  6 H 2.38-2.59
Ag  0.5000  0.5000  0.5000  6 H 2.01
H  0.1096  0.6152  0.6152  1 Rh 1.69
H  0.1774  0.1774  0.6337  2 Rh 1.75
H  0.1774  0.6337  0.1774  2 Rh 1.75
H  0.3663  0.8226  0.8226  2 Rh 1.75
H  0.3848  0.3848  0.8904  1 Rh 1.69
H  0.3848  0.8904  0.3848  1 Rh 1.69
H  0.6152  0.1097  0.6152  1 Rh 1.69
H  0.6152  0.6152  0.1097  1 Rh 1.69
H  0.6337  0.1774  0.1774  2 Rh 1.75
H  0.8226  0.3663  0.8226  2 Rh 1.75
H  0.8226  0.8226  0.3663  2 Rh 1.75
H  0.8904  0.3848  0.3848  1 Rh 1.69
Rh  0.0000  0.5000  0.5000  6 H 1.69-1.75
Rh  0.5000  0.0000  0.5000  6 H 1.69-1.75
Rh  0.5000  0.5000  0.0000  6 H 1.69-1.75

Summary:
Symmetry   No. 166
Volume   171.5 Å³ per cell
Electronic total energy   -0.1628 hartree per atom


(3)
# CaTcAs2Ir

Crystalline CaTcAs2Ir at its relaxed geometry (PBE-GGA, the Alexandria database).

abc: 4.7718 4.7718 4.9361
angles: 90.00 90.00 90.00
Closest atoms and distances in Å follow each position.
Fractional positions:
Ca  0.0000  0.0000  0.0000  4 Ir 3.37, 8 As 3.43
Tc  0.5000  0.5000  0.5000  4 As 2.39, 2 Ir 2.47
As  0.0000  0.5000  0.5000  2 Tc 2.39
As  0.5000  0.0000  0.5000  2 Tc 2.39
Ir  0.5000  0.5000  0.0000  2 Tc 2.47

Summary:
Symmetry   No. 123
Formation energy from the elements   0.19 eV per atom
Volume   112.4 Å³ per cell
Energy above the lowest structure with this stoichiometry   0.0 meV/atom
Electronic total energy   -0.2174 hartree per atom


(4)
# TlBiAs

Crystalline TlBiAs at its relaxed geometry (PBE-GGA, the Alexandria database).

abc: 4.0465 4.0465 19.6893
angles: 90.00 90.00 120.00
Closest atoms and distances in Å follow each position.
Fractional positions:
Tl  0.0000  0.0000  0.0000  3 As 3.18
Tl  0.3333  0.6667  0.6667  3 As 3.18
Tl  0.6667  0.3333  0.3333  3 As 3.18
Bi  0.0000  0.0000  0.5262  3 As 2.85
Bi  0.3333  0.6667  0.1929  3 As 2.85
Bi  0.6667  0.3333  0.8595  3 As 2.85
As  0.0000  0.0000  0.7762  3 Bi 2.85, 3 Tl 3.18
As  0.3333  0.6667  0.4429  3 Bi 2.85, 3 Tl 3.18
As  0.6667  0.3333  0.1096  3 Bi 2.85, 3 Tl 3.18

Summary:
Symmetry   No. 160
Formation energy from the elements   0.05 eV per atom
Volume   279.2 Å³ per cell
Energy above the lowest structure with this stoichiometry   4.7 meV/atom
Electronic total energy   -0.1317 hartree per atom


(5)
# La4Y3ThS8

Crystalline La4Y3ThS8 at its relaxed geometry (PBE-GGA, the Alexandria database).

abc: 8.1333 8.1333 8.1333
angles: 59.56 59.56 59.56
Closest atoms and distances in Å follow each position.
Fractional positions:
La  0.0000  0.0000  0.0000  6 S 2.90
La  0.0000  0.5000  0.5000  6 S 2.94
La  0.5000  0.0000  0.5000  6 S 2.94
La  0.5000  0.5000  0.0000  6 S 2.94
Y  0.0000  0.0000  0.5000  6 S 2.79
Y  0.0000  0.5000  0.0000  6 S 2.79
Y  0.5000  0.0000  0.0000  6 S 2.79
Th  0.5000  0.5000  0.5000  6 S 2.84
S  0.2391  0.7475  0.7475  2 Y 2.79, 1 Th 2.84, 3 La 2.90-2.94
S  0.2435  0.2435  0.2435  3 Y 2.79, 3 La 2.94
S  0.2525  0.2525  0.7609  2 Y 2.79, 1 Th 2.84, 3 La 2.90-2.94
S  0.2525  0.7609  0.2525  2 Y 2.79, 1 Th 2.84, 3 La 2.90-2.94
S  0.7475  0.2391  0.7475  2 Y 2.79, 1 Th 2.84, 3 La 2.90-2.94
S  0.7475  0.7475  0.2391  2 Y 2.79, 1 Th 2.84, 3 La 2.90-2.94
S  0.7565  0.7565  0.7565  3 Y 2.79, 3 La 2.94
S  0.7609  0.2525  0.2525  2 Y 2.79, 1 Th 2.84, 3 La 2.90-2.94

Summary:
Symmetry   No. 166
Volume   376.7 Å³ per cell
Raw formation energy   -2.06 eV/atom
Electronic total energy   -0.2584 hartree per atom


(6)
# MgIn2Ag

Crystalline MgIn2Ag at its relaxed geometry (PBE-GGA, the Alexandria database).

abc: 3.5648 4.2051 5.9614
angles: 90.00 90.00 90.00
Closest atoms and distances in Å follow each position.
Fractional positions:
Mg  0.0000  0.0000  0.0000  6 In 2.90-3.16, 4 Ag 3.08
In  0.0000  0.0000  0.4862  2 Mg 2.90-3.06, 4 Ag 3.15, 4 In 3.15
In  0.5000  0.5000  0.7424  2 Ag 2.91-3.05, 4 In 3.15, 4 Mg 3.16
Ag  0.5000  0.5000  0.2306  6 In 2.91-3.15, 4 Mg 3.08

Summary:
Symmetry   No. 25
Formation energy from the elements   -0.04 eV per atom
Volume   89.4 Å³ per cell
Electronic total energy   -0.0927 hartree per atom


(7)
# MnTl4Br8

Crystalline MnTl4Br8 at its relaxed geometry (PBE-GGA, the Alexandria database).

abc: 8.6304 8.6304 8.0735
angles: 117.75 117.75 77.48
Closest atoms and distances in Å follow each position.
Fractional positions:
Mn  0.0000  0.0000  0.0000  4 Br 2.40
Tl  0.0000  0.5000  0.0000  8 Br 3.38-3.39
Tl  0.0000  0.5000  0.5000  8 Br 3.37-3.39
Tl  0.5000  0.0000  0.0000  8 Br 3.38-3.39
Tl  0.5000  0.0000  0.5000  8 Br 3.37-3.39
Br  0.2225  0.2225  0.2226  1 Mn 2.40
Br  0.2225  0.7775  0.0000  1 Mn 2.40
Br  0.2720  0.2720  0.7716  4 Tl 3.38
Br  0.2720  0.7280  0.5000  4 Tl 3.37-3.39
Br  0.7280  0.2720  0.5000  4 Tl 3.37-3.39
Br  0.7280  0.7280  0.2284  4 Tl 3.38
Br  0.7775  0.2225  0.0000  1 Mn 2.40
Br  0.7775  0.7775  0.7774  1 Mn 2.40

Summary:
Symmetry   No. 12
Volume   471.0 Å³ per cell
Raw formation energy   -0.62 eV/atom
Electronic total energy   -0.1132 hartree per atom


(8)
# Ho6TlIr2

Crystalline Ho6TlIr2 at its relaxed geometry (PBE-GGA, the Alexandria database).

abc: 8.4864 8.4864 8.4864
angles: 113.09 110.89 104.55
Closest atoms and distances in Å follow each position.
Fractional positions:
Ho  0.0319  0.2388  0.7931  1 Ir 2.77
Ho  0.1824  0.2862  0.4687  3 Ir 2.99-3.06, 1 Tl 3.20
Ho  0.1824  0.7138  0.8962  3 Ir 2.99-3.06, 1 Tl 3.20
Ho  0.3309  0.0226  0.6917  3 Ir 2.74-2.97
Ho  0.3309  0.6393  0.3083  3 Ir 2.74-2.97
Ho  0.4457  0.2388  0.2069  1 Ir 2.77
Ho  0.5543  0.7612  0.7931  1 Ir 2.77
Ho  0.6691  0.3607  0.6917  3 Ir 2.74-2.97
Ho  0.6691  0.9774  0.3083  3 Ir 2.74-2.97
Ho  0.8176  0.2862  0.1038  3 Ir 2.99-3.06, 1 Tl 3.20
Ho  0.8176  0.7138  0.5313  3 Ir 2.99-3.06, 1 Tl 3.20
Ho  0.9681  0.7612  0.2069  1 Ir 2.77
Tl  0.0000  0.0000  0.0000  8 Ho 3.18-3.20, 2 Ir 3.23
Tl  0.5000  0.5000  0.0000  12 Ho 3.37-3.65
Ir  0.1308  0.6308  0.5000  1 Ir 2.72, 6 Ho 2.74-2.99
Ir  0.3358  0.0000  0.3358  8 Ho 2.77-3.06
Ir  0.6642  0.0000  0.6642  8 Ho 2.77-3.06
Ir  0.8692  0.3692  0.5000  1 Ir 2.72, 6 Ho 2.74-2.99

Summary:
Symmetry   No. 71
Formation energy from the elements   -0.59 eV per atom
Volume   467.7 Å³ per cell
Electronic total energy   -0.2159 hartree per atom


(9)
# NaTl2Au2

Crystalline NaTl2Au2 at its relaxed geometry (PBE-GGA, the Alexandria database).

abc: 5.3339 5.3339 10.0347
angles: 90.00 90.00 90.00
Closest atoms and distances in Å follow each position.
Fractional positions:
Na  0.0000  0.0000  0.0000  2 Tl 3.52, 8 Au 3.66
Na  0.5000  0.5000  0.5000  2 Tl 3.52, 8 Au 3.66
Tl  0.0000  0.0000  0.3509  4 Au 2.85, 1 Tl 2.99
Tl  0.0000  0.0000  0.6491  4 Au 2.85, 1 Tl 2.99
Tl  0.5000  0.5000  0.1491  4 Au 2.85, 1 Tl 2.99
Tl  0.5000  0.5000  0.8509  4 Au 2.85, 1 Tl 2.99
Au  0.0000  0.5000  0.2500  4 Tl 2.85
Au  0.0000  0.5000  0.7500  4 Tl 2.85
Au  0.5000  0.0000  0.2500  4 Tl 2.85
Au  0.5000  0.0000  0.7500  4 Tl 2.85

Summary:
Symmetry   No. 139
Formation energy from the elements   -0.06 eV per atom
Volume   285.5 Å³ per cell
Energy above the lowest structure with this stoichiometry   88.2 meV/atom
Electronic total energy   -0.0947 hartree per atom


(10)
# Tb2Th3Sc4

Crystalline Tb2Th3Sc4 at its relaxed geometry (PBE-GGA, the Alexandria database).

abc: 3.4479 3.4479 25.3729
angles: 90.00 90.00 120.00
Closest atoms and distances in Å follow each position.
Fractional positions:
Tb  0.0000  0.0000  0.0000  3 Sc 3.37, 6 Tb 3.45, 3 Th 3.62
Tb  0.0000  0.0000  0.2325  1 Sc 3.17, 6 Tb 3.45, 3 Th 3.49
Th  0.0000  0.0000  0.7838  6 Sc 3.41-3.42, 6 Th 3.45
Th  0.3333  0.6667  0.1193  6 Th 3.45, 6 Tb 3.49-3.62
Th  0.3333  0.6667  0.4641  6 Sc 3.36-3.45, 6 Th 3.45
Sc  0.0000  0.0000  0.3576  1 Tb 3.17, 3 Th 3.36, 6 Sc 3.45
Sc  0.0000  0.0000  0.5753  9 Sc 3.20-3.45, 3 Th 3.45
Sc  0.3333  0.6667  0.6740  9 Sc 3.20-3.45, 3 Th 3.42
Sc  0.3333  0.6667  0.8928  3 Tb 3.37, 3 Th 3.41, 6 Sc 3.45

Summary:
Symmetry   No. 156
Formation energy from the elements   0.10 eV per atom
Volume   261.2 Å³ per cell
Energy above the lowest structure with this stoichiometry   0.0 meV/atom
Electronic total energy   -0.2284 hartree per atom


> Number 5 is which compound?

La4Y3ThS8